This record from Alexandria via LeMat-Bulk describes a geometry-optimized Ta2ReCl structure. The functional is GGA-PBE.

Its relative energy among the computed polymorphs is 319 kJ/mol of formula units. Its uncorrected formation energy is 0.722 eV/atom.

The structure belongs to space group Pmmm (No. 47); the cell edges are 3.1001, 4.4298 and 4.9267 Å and the angles 90.00°, 90.00° and 90.00°. The asymmetric unit holds Ta at (0.0000, 0.0000, 0.0000), Ta at (0.5000, 0.0000, 0.5000), Re at (0.0000, 0.5000, 0.5000) and Cl at (0.5000, 0.5000, 0.0000).